Material: MgMnSn3
Method: DFT, PBE
State: relaxed

Cell and atoms, written as extended XYZ:
```
5
Lattice="-3.014 -3.526 1.951 4.022 -2.478 1.733 -0.254 2.597 4.302" Properties=species:S:1:pos:R:3 pbc="T T T"
Sn 2.011 -1.239 0.867
Sn -1.507 -1.763 0.976
Sn -0.127 1.299 2.151
Mg 0.377 -1.704 3.993
Mn 0.000 0.000 0.000
```

## Properties
E_form ... 19.8 kJ per mole of atoms
Mass density ... 5.674 g/cm3